Entry 1:
## CdTeH (PBE)

Data for a relaxed structure of CdTeH.

a = 3.217 Å, b = 4.526 Å, c = 17.485 Å
α = 90.00°, β = 90.00°, γ = 90.00°
Space group Immm (No. 71)
Unique sites:
Cd  0.000  0.000  0.206 (multiplicity 4)
Te  0.000  0.500  0.096 (multiplicity 4)
H  0.000  0.416  0.500 (multiplicity 4)

Entry 2:
## MgBeAs (PBE)

Data for a relaxed structure of MgBeAs.

ΔE_f	0.1641	eV per atom

a = 9.382 Å, b = 3.319 Å, c = 3.330 Å
α = 90.00°, β = 105.53°, γ = 90.00°
Space group Cm (No. 8)
Unique sites:
Mg  0.000  0.000  0.000 (multiplicity 2)
Be  0.211  0.500  0.742 (multiplicity 2)
As  0.295  0.000  0.323 (multiplicity 2)

Looking at raw total energy for the records above, in order, we have -2.444, -3.159 eV per atom.